1.
## Zr5Tl2N (GGA-PBE)

Data for a relaxed structure of Zr5Tl2N.

a b c (Å): 6.363 6.363 8.849
angles (deg): 90.00 90.00 90.00
Space group I4mm (No. 107)
Symmetry-distinct sites (fractional):
1 Zr 0.000 0.000 0.000 [2 per cell]
2 Zr 0.244 0.244 0.261 [8 per cell]
3 Tl 0.000 0.500 0.009 [4 per cell]
4 N 0.000 0.000 0.263 [2 per cell]

Uncorrected formation energy = -299 meV per atom
N(E_F) = 4.95 states/eV/f.u.
Energy = -7.273 eV per atom



2.
## Ti2Os2Ru (GGA-PBE)

Data for a relaxed structure of Ti2Os2Ru.

a b c (Å): 3.463 3.463 14.177
angles (deg): 90.00 90.00 90.00
Space group I4/mmm (No. 139)
Symmetry-distinct sites (fractional):
1 Ti 0.000 0.000 0.099 [4 per cell]
2 Os 0.000 0.500 0.250 [4 per cell]
3 Ru 0.000 0.000 0.500 [2 per cell]

N(E_F) = 6.72 states/eV/f.u.
Energy = -9.171 eV per atom



3.
## Pa2InBr8 (GGA-PBE)

Data for a relaxed structure of Pa2InBr8.

a b c (Å): 9.896 12.074 10.721
angles (deg): 90.00 115.85 90.00
Space group C2/m (No. 12)
Symmetry-distinct sites (fractional):
1 Pa 0.221 0.000 0.175 [4 per cell]
2 In 0.000 0.500 0.500 [2 per cell]
3 Br 0.005 0.500 0.192 [4 per cell]
4 Br 0.099 0.000 0.880 [4 per cell]
5 Br 0.247 0.202 0.298 [8 per cell]

Uncorrected formation energy = -1162 meV per atom
N(E_F) = 9.34 states/eV/f.u.
Energy = -4.355 eV per atom



4.
## Ca3Ga2CuAu9 (GGA-PBE)

Data for a relaxed structure of Ca3Ga2CuAu9.

a b c (Å): 6.7085 6.7085 9.3778
angles (deg): 90.00 90.00 120.00
Space group P-3m1 (No. 164)
Symmetry-distinct sites (fractional):
1 Ca 0.0000 0.0000 0.0000 [1 per cell]
2 Ca 0.3333 0.6667 0.7231 [2 per cell]
3 Ga 0.3333 0.6667 0.1828 [2 per cell]
4 Cu 0.0000 0.0000 0.5000 [1 per cell]
5 Au 0.0000 0.5000 0.0000 [3 per cell]
6 Au 0.1401 0.2801 0.2897 [6 per cell]

N(E_F) = 5.44 states/eV/f.u.
Energy = -3.383 eV per atom



5.
## LiDy2Ge2Rh5 (GGA-PBE)

Data for a relaxed structure of LiDy2Ge2Rh5.

a b c (Å): 9.835 9.835 3.492
angles (deg): 90.00 90.00 90.00
Space group P4/mbm (No. 127)
Symmetry-distinct sites (fractional):
1 Li 0.000 0.000 0.000 [2 per cell]
2 Dy 0.172 0.328 0.000 [4 per cell]
3 Ge 0.129 0.629 0.000 [4 per cell]
4 Rh 0.000 0.500 0.500 [2 per cell]
5 Rh 0.066 0.794 0.500 [8 per cell]

N(E_F) = 4.33 states/eV/f.u.
Energy = -6.406 eV per atom



6.
## Tb16Pr7Sm6 (GGA-PBE)

Data for a relaxed structure of Tb16Pr7Sm6.

a b c (Å): 16.013 16.013 16.013
angles (deg): 90.00 90.00 90.00
Space group Fm-3m (No. 225)
Symmetry-distinct sites (fractional):
1 Tb 0.129 0.129 0.129 [32 per cell]
2 Tb 0.151 0.151 0.349 [32 per cell]
3 Pr 0.000 0.000 0.000 [4 per cell]
4 Pr 0.000 0.250 0.250 [24 per cell]
5 Sm 0.000 0.000 0.261 [24 per cell]

N(E_F) = 49.25 states/eV/f.u.
Energy = -4.444 eV per atom



7.
## Pr8Sm2Cd (GGA-PBE)

Data for a relaxed structure of Pr8Sm2Cd.

a b c (Å): 11.591 5.189 12.919
angles (deg): 90.00 104.14 90.00
Space group C2/m (No. 12)
Symmetry-distinct sites (fractional):
1 Pr 0.036 0.000 0.324 [4 per cell]
2 Pr 0.090 0.500 0.140 [4 per cell]
3 Pr 0.140 0.000 0.952 [4 per cell]
4 Pr 0.246 0.000 0.587 [4 per cell]
5 Sm 0.185 0.500 0.761 [4 per cell]
6 Cd 0.000 0.500 0.500 [2 per cell]

N(E_F) = 15.25 states/eV/f.u.
Energy = -4.438 eV per atom



8.
## CaCrIn2 (GGA-PBE)

Data for a relaxed structure of CaCrIn2.

a b c (Å): 4.537 4.537 4.586
angles (deg): 90.00 90.00 90.00
Space group P4/mmm (No. 123)
Symmetry-distinct sites (fractional):
1 Ca 0.000 0.000 0.000 [1 per cell]
2 Cr 0.500 0.500 0.000 [1 per cell]
3 In 0.000 0.500 0.500 [2 per cell]

N(E_F) = 2.09 states/eV/f.u.
Energy = -4.219 eV per atom